The following is a DFT calculation (PBE with a Hubbard U) of a relaxed structure of VF5.

Cell and atoms, written as CIF:
```
data_VF5
_space_group_name_H-M_alt 'P 1'
_space_group_IT_number 1
_space_group_name_Hall 'P 1'
_cell_length_a 5.909
_cell_length_b 5.909
_cell_length_c 6.657
_cell_angle_alpha 90.00
_cell_angle_beta 90.00
_cell_angle_gamma 120.00
loop_
_atom_site_label
_atom_site_fract_x
_atom_site_fract_y
_atom_site_fract_z
V1 0.333 0.667 0.250
V2 0.667 0.333 0.750
F1 0.163 0.326 0.250
F2 0.163 0.837 0.250
F3 0.326 0.163 0.750
F4 0.333 0.667 0.519
F5 0.333 0.667 0.981
F6 0.667 0.333 0.019
F7 0.667 0.333 0.481
F8 0.674 0.837 0.250
F9 0.837 0.163 0.750
F10 0.837 0.674 0.750
```

Final energy = -5.242 eV per atom
Space-group type = P6_3/mmc (194)